1.
Computed, not measured: a relaxed structure of LaTb2Zn at the PBE level of DFT.

Lattice parameters (Å, degrees): 5.0593 5.0593 15.8612 90.00 90.00 120.00
Last column: nearest neighbours and their distance in Å.
Space group R-3m (No. 166, hexagonal axes)
Symmetry-distinct sites (fractional):
La1 0.0000 0.0000 0.0000 (multiplicity 3)  8 Tb 3.39-3.57
Tb1 0.0000 0.0000 0.2253 (multiplicity 6)  3 Zn 3.07, 3 La 3.39
Zn1 0.0000 0.0000 0.5000 (multiplicity 3)  6 Tb 3.07

E_form, eV/atom: 0.1119
Raw total energy, eV/atom: -3.75
Distance to the lowest polymorph of the same formula, meV per atom: 266
Volume, Å³/cell: 351.6

---

2.
Computed, not measured: a relaxed structure of La4TbZn at the PBE level of DFT.

Lattice parameters (Å, degrees): 5.3459 5.3459 7.6539 90.00 90.00 90.00
Last column: nearest neighbours and their distance in Å.
Space group P4/mmm (No. 123)
Symmetry-distinct sites (fractional):
La1 0.0000 0.5000 0.2327 (multiplicity 4)  2 Zn 3.21, 2 Tb 3.37, 1 La 3.56
Tb1 0.0000 0.0000 0.5000 (multiplicity 1)  8 La 3.37
Zn1 0.5000 0.5000 0.0000 (multiplicity 1)  8 La 3.21

E_form, eV/atom: 0.3007
Raw total energy, eV/atom: -3.97
Distance to the lowest polymorph of the same formula, meV per atom: 393
Volume, Å³/cell: 218.7

---

3.
Computed, not measured: a relaxed structure of La9Tb4Zn11 at the PBE level of DFT.

Lattice parameters (Å, degrees): 15.4229 22.5287 3.5925 90.00 90.00 90.00
Last column: nearest neighbours and their distance in Å.
Space group Cmmm (No. 65)
Symmetry-distinct sites (fractional):
La1 0.0000 0.0000 0.0000 (multiplicity 2)  4 Tb 3.19
La2 0.1138 0.2444 0.0000 (multiplicity 8)  8 Zn 3.18-3.48, 1 Tb 3.39, 1 La 3.51
La3 0.1265 0.4176 0.0000 (multiplicity 8)  8 Zn 3.21-3.42, 1 Tb 3.43, 2 La 3.59
Tb1 0.1518 0.0963 0.0000 (multiplicity 8)  6 Zn 3.05-3.09, 2 La 3.19-3.39
Zn1 0.0000 0.1376 0.5000 (multiplicity 4)  4 Tb 3.09
Zn2 0.0000 0.3371 0.5000 (multiplicity 4)  8 La 3.21-3.27, 2 Zn 3.59
Zn3 0.0000 0.5000 0.5000 (multiplicity 2)  8 La 3.24, 2 Zn 3.59
Zn4 0.2280 0.0000 0.5000 (multiplicity 4)  4 Tb 3.05
Zn5 0.2408 0.3221 0.5000 (multiplicity 8)  2 Tb 3.06, 6 La 3.18-3.31, 1 Zn 3.26

E_form, eV/atom: -0.2429
Raw total energy, eV/atom: -3.45
Volume, Å³/cell: 1248.2

---

Q: Which formula does entry 1 have?
A: LaTb2Zn